The following is a GGA-PBE calculation of PmMgGa2 after structural relaxation, from the Alexandria database.

Calculated total energy: -3.553 eV per atom

abc: 4.524 4.524 4.254
angles: 90.00 90.00 90.00
Space group P4/mmm (No. 123)
Symmetry-distinct sites (fractional):
Pm1 0.000 0.000 0.000 (multiplicity 1)
Mg1 0.500 0.500 0.000 (multiplicity 1)
Ga1 0.000 0.500 0.500 (multiplicity 2)

=====

The following is a GGA-PBE calculation of PmMgGa3 after structural relaxation, from the Alexandria database.

Calculated total energy: -3.556 eV per atom

abc: 4.197 24.402 4.226
angles: 90.00 90.00 90.00
Space group Cmcm (No. 63)
Symmetry-distinct sites (fractional):
Pm1 0.000 0.077 0.250 (multiplicity 4)
Mg1 0.000 0.205 0.750 (multiplicity 4)
Ga1 0.000 0.317 0.750 (multiplicity 4)
Ga2 0.000 0.374 0.250 (multiplicity 4)
Ga3 0.000 0.475 0.250 (multiplicity 4)

=====

The following is a GGA-PBE calculation of Pm4Mg5Ga2 after structural relaxation, from the Alexandria database.

Calculated total energy: -3.212 eV per atom

abc: 8.046 3.636 10.125
angles: 90.00 93.98 90.00
Space group P2/m (No. 10)
Symmetry-distinct sites (fractional):
Pm1 0.157 0.000 0.367 (multiplicity 2)
Pm2 0.255 0.000 0.945 (multiplicity 2)
Mg1 0.191 0.500 0.661 (multiplicity 2)
Mg2 0.435 0.500 0.199 (multiplicity 2)
Mg3 0.500 0.500 0.500 (multiplicity 1)
Ga1 0.056 0.500 0.129 (multiplicity 2)

=====

The following is a GGA-PBE calculation of PmMg2Ga3 after structural relaxation, from the Alexandria database.

Calculated total energy: -3.071 eV per atom

abc: 4.336 4.336 28.406
angles: 90.00 90.00 90.00
Space group I4/mmm (No. 139)
Symmetry-distinct sites (fractional):
Pm1 0.000 0.000 0.146 (multiplicity 4)
Mg1 0.000 0.000 0.400 (multiplicity 4)
Mg2 0.000 0.500 0.250 (multiplicity 4)
Ga1 0.000 0.000 0.310 (multiplicity 4)
Ga2 0.000 0.500 0.044 (multiplicity 8)

=====

The following is a GGA-PBE calculation of Pm2Mg3Ga2 after structural relaxation, from the Alexandria database.

Energy above the most stable polymorph in this dataset: 30 meV per atom
Calculated total energy: -3.225 eV per atom

abc: 4.369 21.551 3.689
angles: 90.00 90.00 90.00
Space group Cmmm (No. 65)
Symmetry-distinct sites (fractional):
Pm1 0.000 0.165 0.000 (multiplicity 4)
Mg1 0.000 0.000 0.000 (multiplicity 2)
Mg2 0.000 0.427 0.500 (multiplicity 4)
Ga1 0.000 0.285 0.500 (multiplicity 4)

=====

The following is a GGA-PBE calculation of Pm3Mg7Ga2 after structural relaxation, from the Alexandria database.

Calculated total energy: -2.799 eV per atom

abc: 6.0215 6.0215 28.2866
angles: 90.00 90.00 120.00
Space group R-3m (No. 166, hexagonal axes)
Symmetry-distinct sites (fractional):
Pm1 0.0000 0.0000 0.0000 (multiplicity 3)
Pm2 0.0000 0.0000 0.1441 (multiplicity 6)
Mg1 0.0000 0.0000 0.5000 (multiplicity 3)
Mg2 0.0040 0.5020 0.9214 (multiplicity 18)
Ga1 0.0000 0.0000 0.3342 (multiplicity 6)

=====

The following is a GGA-PBE calculation of Pm4MgGa3 after structural relaxation, from the Alexandria database.

Energy above the most stable polymorph in this dataset: 0 meV per atom
Calculated total energy: -4.158 eV per atom

abc: 10.466 7.464 5.232
angles: 90.00 90.00 90.00
Space group Pmma (No. 51)
Symmetry-distinct sites (fractional):
Pm1 0.000 0.243 0.000 (multiplicity 4)
Pm2 0.250 0.243 0.498 (multiplicity 4)
Mg1 0.000 0.500 0.500 (multiplicity 2)
Ga1 0.000 0.000 0.500 (multiplicity 2)
Ga2 0.250 0.000 0.997 (multiplicity 2)
Ga3 0.250 0.500 0.997 (multiplicity 2)

=====

The following is a GGA-PBE calculation of Pm3Mg2Ga3 after structural relaxation, from the Alexandria database.

Energy above the most stable polymorph in this dataset: 0 meV per atom
Calculated total energy: -3.719 eV per atom

abc: 8.7993 8.7993 6.0408
angles: 90.00 90.00 120.00
Space group P6_3/mcm (No. 193)
Symmetry-distinct sites (fractional):
Pm1 0.0000 0.2880 0.2500 (multiplicity 6)
Mg1 0.3333 0.6667 0.0000 (multiplicity 4)
Ga1 0.0000 0.3722 0.7500 (multiplicity 6)

=====

| no. | energy of formation from the pure elements (eV per atom) |
| --- | --- |
| 1 | -0.454 |
| 2 | -0.471 |
| 3 | -0.209 |
| 4 | -0.235 |
| 5 | -0.319 |
| 6 | -0.177 |
| 7 | -0.448 |
| 8 | -0.404 |